*i*
Compound: MgMoSeN2
Source: Alexandria
Functional: PBE
Structure: relaxed

Cell: 3.8596 3.8596 4.9462 Å, 90.00 90.00 90.00°
Element x y z (fractional)
N: 0.0000 0.5000 0.0000
Mo: 0.5000 0.5000 0.5000
Mg: 0.0000 0.0000 0.0000
N: 0.5000 0.0000 0.0000
Se: 0.0000 0.0000 0.5000

*ii*
Compound: MgMoSeN2
Source: Alexandria
Functional: PBE
Structure: relaxed

Cell: 3.9017 3.9017 5.3756 Å, 90.00 90.00 90.00°
Site moments in Bohr magnetons follow the coordinates.
Element x y z (fractional)
Mo: 0.0000 0.0000 0.0000  -0.07
N: 0.5000 0.0000 0.0000  0.07
N: 0.0000 0.5000 0.0000  0.07
Mg: 0.5000 0.5000 0.5000  0.00
Se: 0.0000 0.0000 0.5000  0.00

The computed energies, referenced to the most stable structure and given in kJ/mol of atoms, are *i* 148.7; *ii* 0.0.

*i*
Compound: MgMoSe2N
Source: Alexandria
Functional: PBE
Structure: relaxed

Cell: 5.1076 5.1076 3.8554 Å, 90.00 90.00 90.00°
Site moments in Bohr magnetons follow the coordinates.
Element x y z (fractional)
N: 0.0000 0.0000 0.5000  1.07
Mg: 0.0000 0.0000 0.0000  -0.01
Se: 0.5000 0.0000 0.0000  -0.08
Se: 0.0000 0.5000 0.0000  -0.08
Mo: 0.5000 0.5000 0.5000  3.14

*ii*
Compound: MgMoSe2N
Source: Alexandria
Functional: PBE
Structure: relaxed

Cell: 5.1118 5.1118 3.7976 Å, 90.00 90.00 90.00°
Element x y z (fractional)
Mo: 0.0000 0.0000 0.0000
Se: 0.0000 0.5000 0.0000
N: 0.0000 0.0000 0.5000
Mg: 0.5000 0.5000 0.5000
Se: 0.5000 0.0000 0.0000

The computed energies, referenced to the most stable structure and given in kJ/mol of atoms, are *i* 103.6; *ii* 0.0.

*i*
Compound: Na2Mg2Mo
Source: Alexandria
Functional: PBE
Structure: relaxed

Cell: 3.7838 3.7838 8.7218 Å, 77.47 77.47 90.00°
Site moments in Bohr magnetons follow the coordinates.
Element x y z (fractional)
Mg: 0.5837 0.5837 0.8326  -0.01
Na: 0.2500 0.7500 0.5000  0.01
Mg: 0.4163 0.4163 0.1674  -0.01
Na: 0.7500 0.2500 0.5000  0.01
Mo: 0.0000 0.0000 0.0000  2.20

*ii*
Compound: Na2Mg2Mo
Source: Alexandria
Functional: PBE
Structure: relaxed

Cell: 8.7044 8.7044 2.9202 Å, 90.00 90.00 90.00°
Site moments in Bohr magnetons follow the coordinates.
Element x y z (fractional)
Na: 0.3717 0.1283 0.5000  0.00
Na: 0.8717 0.3717 0.5000  0.00
Mg: 0.1757 0.3243 0.0000  -0.01
Na: 0.1283 0.6283 0.5000  0.00
Na: 0.6283 0.8717 0.5000  0.00
Mg: 0.6757 0.1757 0.0000  -0.01
Mo: 0.5000 0.5000 0.0000  0.99
Mo: 0.0000 0.0000 0.0000  0.98
Mg: 0.3243 0.8243 0.0000  -0.01
Mg: 0.8243 0.6757 0.0000  -0.01

The computed energies, referenced to the most stable structure and given in kJ/mol of atoms, are *i* 0.0; *ii* 8.1.